(a)
A plane-wave DFT calculation with GGA-PBE was carried out for a geometry-optimized MnBr3N structure.

a = 6.444 Å, b = 6.447 Å, c = 10.913 Å
α = 75.07°, β = 82.83°, γ = 64.77°
Sites, in units of the cell vectors:
Mn 0.000 0.000 0.000
Mn 0.342 0.341 0.999
Br 0.061 0.344 0.860
Br 0.283 0.996 0.138
Br 0.348 0.696 0.859
Br 0.634 0.282 0.140
Br 0.710 0.058 0.859
Br 0.995 0.644 0.139
N 0.092 0.744 0.475
N 0.244 0.591 0.523

***

(b)
A plane-wave DFT calculation with GGA-PBE was carried out for a geometry-optimized MnBr3N structure.

a = 4.719 Å, b = 4.719 Å, c = 4.719 Å
α = 90.00°, β = 90.00°, γ = 90.00°
Sites, in units of the cell vectors:
Mn 0.000 0.000 0.000
Br 0.000 0.500 0.500
Br 0.500 0.000 0.500
Br 0.500 0.500 0.000
N 0.500 0.500 0.500

***

So which one is most stable? That would be (a), about 1449 meV per atom below the next structure.